A geometry-optimized NdAlZn2Pd structure. Source: Alexandria via LeMat-Bulk, functional GGA-PBE.

abc: 6.2322 6.2322 6.2322
angles: 142.56 138.59 57.04
Atoms (fractional coordinates):
Nd 0.0000 0.0000 0.0000
Al 0.3800 0.3800 0.0000
Zn 0.6116 0.6116 0.0000
Zn 0.7557 0.2557 0.5000
Pd 0.2442 0.7442 0.5000

Properties
E_tot   -3.76 eV per atom
E_form   -2.5 eV per formula unit